Record 1
CsSn2As2 after structural relaxation, computed with PBE.

Output
Energy of formation from the pure elements, kJ per mole of atoms: -4.7
Density of states at the Fermi level, states/eV/atom: 0.48
Crystal system: tetragonal

abc: 9.034 9.034 3.758
angles: 90.00 90.00 90.00
Space group P4/mbm (No. 127)
One atom of each set of equivalent atoms:
Cs 0.000 0.000 0.000
Sn 0.130 0.370 0.500
As 0.123 0.623 0.000

Record 2
Cr2AgAu after structural relaxation, computed with PBE.

Output
Energy of formation from the pure elements, kJ per mole of atoms: 72.5
Density of states at the Fermi level, states/eV/atom: 0.76
Energy relative to the lowest polymorph listed for this composition, meV per atom: 572
Crystal system: tetragonal

abc: 7.350 7.350 5.666
angles: 90.00 90.00 90.00
Space group I-42d (No. 122)
One atom of each set of equivalent atoms:
Cr 0.244 0.250 0.125
Ag 0.000 0.000 0.500
Au 0.000 0.000 0.000

Record 3
Ca5TmBi4 after structural relaxation, computed with PBE.

Output
Energy of formation from the pure elements, kJ per mole of atoms: -66.9
Density of states at the Fermi level, states/eV/atom: 0.41
Crystal system: monoclinic

abc: 17.355 5.116 7.916
angles: 90.00 92.26 90.00
Space group C2/m (No. 12)
One atom of each set of equivalent atoms:
Ca 0.000 0.000 0.000
Ca 0.161 0.500 0.990
Ca 0.167 0.500 0.505
Tm 0.000 0.000 0.500
Bi 0.022 0.500 0.255
Bi 0.182 0.000 0.747

Record 4
NbReNiAu2 after structural relaxation, computed with PBE.

Output
Energy of formation from the pure elements, kJ per mole of atoms: 152.0
Density of states at the Fermi level, states/eV/atom: 1.51
Crystal system: tetragonal

abc: 4.956 4.956 4.379
angles: 90.00 90.00 90.00
Space group P4/mmm (No. 123)
One atom of each set of equivalent atoms:
Nb 0.000 0.000 0.000
Re 0.500 0.500 0.500
Ni 0.500 0.500 0.000
Au 0.000 0.500 0.500